[1]
First-principles (GGA-PBE) data for a geometry-optimized SrAg3O3 structure, as listed in the Alexandria database.

Calculated values
SG	Pm-3m (221)
density	6.7	g/cm3
uncorrected formation energy	-775.7	meV per atom

a b c (Å): 4.8373 4.8373 4.8373
angles (deg): 90.00 90.00 90.00
Positions (direct):
Sr 0.0000 0.0000 0.0000
Ag 0.0000 0.5000 0.5000
Ag 0.5000 0.0000 0.5000
Ag 0.5000 0.5000 0.0000
O 0.0000 0.0000 0.5000
O 0.0000 0.5000 0.0000
O 0.5000 0.0000 0.0000

---

[2]
First-principles (GGA-PBE) data for a geometry-optimized TmMnPb2Se5 structure, as listed in the Alexandria database.

Calculated values
SG	Cmc2_1 (36)
density	7.0	g/cm3
uncorrected formation energy	-828.3	meV per atom

a b c (Å): 9.3978 9.3978 13.0947
angles (deg): 90.00 90.00 154.94
Positions (direct):
Tm 0.1969 0.8031 0.5000
Tm 0.8031 0.1969 0.0000
Mn 0.4436 0.5564 0.9019
Mn 0.5564 0.4436 0.4019
Pb 0.1158 0.8842 0.7983
Pb 0.1365 0.8635 0.1449
Pb 0.8635 0.1365 0.6449
Pb 0.8842 0.1158 0.2983
Se 0.0388 0.9612 0.5018
Se 0.2987 0.7013 0.1494
Se 0.3158 0.6842 0.8488
Se 0.3485 0.6515 0.4842
Se 0.4960 0.5040 0.2407
Se 0.5040 0.4960 0.7407
Se 0.6515 0.3485 0.9842
Se 0.6842 0.3158 0.3488
Se 0.7013 0.2987 0.6494
Se 0.9612 0.0388 0.0018

---

[3]
First-principles (GGA-PBE) data for a geometry-optimized CrAgAs4 structure, as listed in the Alexandria database.

Calculated values
SG	F-43m (216)
density	6.3	g/cm3
DFT total energy	-4.652	eV/atom

a b c (Å): 5.5463 5.5463 5.5463
angles (deg): 60.00 60.00 60.00
Positions (direct):
Cr 0.0000 0.0000 0.0000
Ag 0.7500 0.7500 0.7500
As 0.3760 0.3760 0.3760
As 0.3760 0.3760 0.8719
As 0.3760 0.8719 0.3760
As 0.8719 0.3760 0.3760